Record 1
MgMnNi2: relaxed, PBEsol.

The structure in POSCAR format:
```
MgMnNi2
1.0
3.088 0.000 0.000
0.000 4.003 0.000
0.000 0.000 4.003
Ni Mg Mn
2 1 1
Cartesian
0.000 0.000 2.001 Ni
0.000 2.001 0.000 Ni
1.544 0.000 0.000 Mg
1.544 2.001 2.001 Mn
```

Computed properties:
DOS(E_F), states/eV per cell: 1.851
Energy of formation from the pure elements, eV per atom: -0.014
Space group: P4/mmm (123)



Record 2
LaGe2PdW: relaxed, PBEsol.

The structure in POSCAR format:
```
LaGe2PdW
1.0
4.771 0.000 0.000
0.000 4.771 0.000
0.000 0.000 4.960
Ge Pd W La
2 1 1 1
Cartesian
0.000 2.386 0.000 Ge
2.386 0.000 0.000 Ge
0.000 0.000 2.480 Pd
0.000 0.000 0.000 W
2.386 2.386 2.480 La
```

Computed properties:
DOS(E_F), states/eV per cell: 2.397
Energy of formation from the pure elements, eV per atom: -0.022
Space group: P4/mmm (123)



Record 3
BeCr4Pt: relaxed, PBEsol.

The structure in POSCAR format:
```
BeCr4Pt
1.0
-4.460 1.249 -0.270
-2.614 0.114 3.832
-1.379 4.071 1.747
Be Cr Pt
1 4 1
Cartesian
0.000 0.000 0.000 Be
-4.603 1.325 2.439 Cr
-3.022 2.773 3.474 Cr
-3.970 3.356 1.368 Cr
-5.312 3.415 3.335 Cr
-2.113 1.359 1.327 Pt
```

Computed properties:
DOS(E_F), states/eV per cell: 5.327
Energy of formation from the pure elements, eV per atom: 0.170
Space group: F-43m (216)



Record 4
ScNiH2: relaxed, PBEsol.

The structure in POSCAR format:
```
ScNiH2
1.0
-1.459 -1.941 -2.754
1.810 -2.883 -1.374
-1.237 -3.403 0.606
Sc Ni H
1 1 2
Cartesian
0.000 0.000 0.000 Sc
-0.443 -4.113 -1.761 Ni
-0.221 -2.057 -0.880 H
-0.664 -6.170 -2.641 H
```

Computed properties:
DOS(E_F), states/eV per cell: 2.541
Final energy, eV per atom: -5.008
Space group: Fm-3m (225)



Record 5
Ba2Hg3Pd7O14: relaxed, PBEsol.

The structure in POSCAR format:
```
Ba2Hg3Pd7O14
1.0
6.135 -0.026 -0.007
2.961 5.373 -0.007
-0.077 -0.045 10.921
Ba Hg Pd O
2 3 7 14
Cartesian
4.596 2.702 3.197 Ba
4.422 2.600 7.710 Ba
7.430 4.368 8.782 Hg
1.589 0.934 2.125 Hg
-0.039 -0.023 5.460 Hg
0.000 0.000 0.000 Pd
7.537 4.431 2.409 Pd
1.481 0.871 8.497 Pd
3.067 -0.013 -0.004 Pd
1.442 2.664 5.457 Pd
3.029 -0.035 5.457 Pd
1.480 2.687 -0.004 Pd
2.792 3.715 1.129 O
6.236 3.666 1.063 O
1.557 2.558 7.458 O
3.256 1.914 5.338 O
6.026 5.185 3.448 O
0.020 0.012 7.501 O
7.461 2.744 3.448 O
4.604 0.633 1.129 O
6.226 1.587 9.777 O
5.762 3.388 5.568 O
2.782 1.636 9.843 O
2.993 0.117 7.458 O
8.999 5.291 3.406 O
4.415 4.669 9.777 O
```

Computed properties:
DOS(E_F), states/eV per cell: 4.819
Uncorrected formation energy, meV/atom: -882
Space group: C2/m (12)



Record 6
Sr2TaTc: relaxed, PBEsol.

The structure in POSCAR format:
```
Sr2TaTc
1.0
-0.285 -2.776 0.812
2.772 -0.469 -0.734
3.072 2.592 9.944
Sr Ta Tc
2 1 1
Cartesian
0.723 0.610 2.341 Sr
2.349 1.982 7.603 Sr
2.780 -0.326 5.010 Ta
1.244 -1.622 0.039 Tc
```

Computed properties:
DOS(E_F), states/eV per cell: 3.923
Offset from the most stable computed form, eV/f.u.: 0.000
Energy of formation from the pure elements, eV per atom: 1.184
Space group: Cmmm (65)



- Which formula does entry 2 have?
  LaGe2PdW